{
  "formula": "MoPt2Pb",
  "functional": "PBE-GGA",
  "state": "optimized geometry",
  "cell": [[-1.597, 4.020, -2.385], [-0.207, -1.331, -4.753], [-1.941, -2.250, 3.946]],
  "species": ["Mo", "Pb", "Pt", "Pt"],
  "fractional_positions": [[0.500, 0.500, 0.000], [0.750, 0.250, 0.500], [0.000, 0.000, 0.000], [0.250, 0.750, 0.500]],
  "density_g_cm3": 16.2,
  "space_group": "I-4m2 (119)",
  "ef_kcal_per_mol_atoms": 5.31,
  "final_energy_ry_per_atom": -0.4722
}